Density functional theory data (GGA-PBE) for a relaxed structure of Th2P6Pd21.

Cell lengths 8.6802, 8.6802, 8.6802 Å; angles 60.00, 60.00, 60.00 degrees
Sites, in units of the cell vectors:
Th (0.7500, 0.7500, 0.7500)
Th (0.2500, 0.2500, 0.2500)
P (0.2596, 0.7404, 0.2596)
P (0.7404, 0.2596, 0.2596)
P (0.7404, 0.7404, 0.2596)
P (0.7404, 0.2596, 0.7404)
P (0.2596, 0.7404, 0.7404)
P (0.2596, 0.2596, 0.7404)
Pd (0.0000, 0.0000, 0.0000)
Pd (0.6149, 0.6149, 0.1553)
Pd (0.6149, 0.6149, 0.6149)
Pd (0.6149, 0.1553, 0.6149)
Pd (0.1553, 0.6149, 0.6149)
Pd (0.3851, 0.3851, 0.8447)
Pd (0.3851, 0.3851, 0.3851)
Pd (0.3851, 0.8447, 0.3851)
Pd (0.8447, 0.3851, 0.3851)
Pd (0.6551, 0.0000, 0.3449)
Pd (0.0000, 0.6551, 0.3449)
Pd (0.0000, 0.0000, 0.3449)
Pd (0.0000, 0.6551, 0.0000)
Pd (0.6551, 0.0000, 0.0000)
Pd (0.0000, 0.0000, 0.6551)
Pd (0.0000, 0.3449, 0.0000)
Pd (0.0000, 0.3449, 0.6551)
Pd (0.6551, 0.3449, 0.0000)
Pd (0.3449, 0.0000, 0.6551)
Pd (0.3449, 0.0000, 0.0000)
Pd (0.3449, 0.6551, 0.0000)

total moment = 0.00 μB/cell
formation enthalpy at 0 K = -0.6396 eV per atom